[1]
Entry from Alexandria via LeMat-Bulk: an optimized crystal structure of EuGaP (GGA-PBE).

Summary:
- Symmetry: P3m1 (156)
- Calculated total energy: -20.74 eV per cell

Lattice parameters (Å, degrees): 4.2951 4.2951 4.0728 90.00 90.00 120.00
Closest atoms and distances in Å follow each position.
Element x y z (fractional)
Eu: 0.0000 0.0000 0.0000  6 Ga 3.19-3.23, 6 P 3.20-3.22
Ga: 0.6667 0.3333 0.4936  3 P 2.48
P: 0.3333 0.6667 0.5044  3 Ga 2.48

=====

[2]
Entry from Alexandria via LeMat-Bulk: an optimized crystal structure of Eu3GaP (GGA-PBE).

Summary:
- Symmetry: Pm-3m (221)
- Calculated total energy: -41.65 eV per cell

Lattice parameters (Å, degrees): 5.6122 5.6122 5.6122 90.00 90.00 90.00
Closest atoms and distances in Å follow each position.
Element x y z (fractional)
Eu: 0.0000 0.0000 0.5000  2 P 2.81
Eu: 0.0000 0.5000 0.0000  2 P 2.81
Eu: 0.5000 0.0000 0.0000  2 P 2.81
Ga: 0.5000 0.5000 0.5000  12 Eu 3.97
P: 0.0000 0.0000 0.0000  6 Eu 2.81

=====

[3]
Entry from Alexandria via LeMat-Bulk: an optimized crystal structure of EuGa2P (GGA-PBE).

Summary:
- Symmetry: R-3m (166)
- Calculated total energy: -21.68 eV per cell

Lattice parameters (Å, degrees): 9.3161 9.3161 9.3161 23.30 23.30 23.30
Closest atoms and distances in Å follow each position.
Element x y z (fractional)
Eu: 0.0000 0.0000 0.0000  2 Ga 3.18
Ga: 0.1170 0.1170 0.1170  3 P 2.56
Ga: 0.8830 0.8830 0.8830  3 P 2.56
P: 0.5000 0.5000 0.5000  6 Ga 2.56

=====

[4]
Entry from Alexandria via LeMat-Bulk: an optimized crystal structure of Eu2GaP (GGA-PBE).

Summary:
- Energy relative to the lowest polymorph listed for this composition: 0.00 kJ per mole of atoms
- Symmetry: P4/mmm (123)
- Calculated total energy: -31.91 eV per cell

Lattice parameters (Å, degrees): 3.7655 3.7655 6.9358 90.00 90.00 90.00
Closest atoms and distances in Å follow each position.
Element x y z (fractional)
Eu: 0.0000 0.0000 0.2247  4 P 3.09, 1 Eu 3.12, 4 Ga 3.28
Eu: 0.0000 0.0000 0.7753  4 P 3.09, 1 Eu 3.12, 4 Ga 3.28
Ga: 0.5000 0.5000 0.5000  8 Eu 3.28, 2 P 3.47
P: 0.5000 0.5000 0.0000  8 Eu 3.09

=====

no.,energy relative to the elements (meV/atom)
1,-677
2,-479
3,14
4,-732